Entry 1:
PmDyAs: relaxed, PBE.

Computed properties:
- Energy above the lowest structure with this stoichiometry: 63 meV/atom
- Energy of formation from the pure elements: -788 meV per atom

Unit cell a=6.916 b=6.916 c=6.916 alpha=90.00 beta=90.00 gamma=90.00
Space group F-43m (No. 216)
Asymmetric unit:
Pm: 0.000 0.000 0.000 x4
Dy: 0.000 0.000 0.500 x4
As: 0.250 0.250 0.250 x4

***

Entry 2:
Dy3Ho2Mg3: relaxed, PBE.

Computed properties:
- Energy of formation from the pure elements: -56 meV per atom

Unit cell a=3.738 b=5.419 c=22.311 alpha=90.00 beta=90.00 gamma=90.00
Space group Immm (No. 71)
Asymmetric unit:
Dy: 0.000 0.000 0.000 x2
Dy: 0.000 0.500 0.125 x4
Ho: 0.000 0.000 0.235 x4
Mg: 0.000 0.000 0.500 x2
Mg: 0.000 0.500 0.383 x4

***

Entry 3:
Zr2CrBr: relaxed, PBE.

Computed properties:
- Energy above the lowest structure with this stoichiometry: 338 meV/atom
- Formation energy (no corrections): 0.48 eV/f.u.

Unit cell a=3.199 b=4.724 c=5.380 alpha=90.00 beta=107.28 gamma=90.00
Space group Pm (No. 6)
Asymmetric unit:
Zr: 0.000 0.000 0.000 x1
Zr: 0.284 0.500 0.566 x1
Cr: 0.743 0.000 0.481 x1
Br: 0.553 0.500 0.104 x1

***

Entry 4:
Ta2Mn5Pd12: relaxed, PBE.

Computed properties:
- Energy of formation from the pure elements: -152 meV per atom

Unit cell a=10.030 b=9.015 c=7.450 alpha=90.00 beta=114.78 gamma=90.00
Space group C2/m (No. 12)
Asymmetric unit:
Ta: 0.000 0.248 0.000 x4
Mn: 0.000 0.500 0.500 x2
Mn: 0.198 0.000 0.278 x4
Mn: 0.219 0.500 0.312 x4
Pd: 0.086 0.500 0.894 x4
Pd: 0.087 0.000 0.875 x4
Pd: 0.097 0.245 0.394 x8
Pd: 0.210 0.254 0.803 x8

***

Question: What is the formula in the third record?
Answer: Zr2CrBr